Entry 1:
First-principles (SCAN) data for a PBEsol-optimized structure of AlZnSCl2, as listed in the Alexandria database.

Output
raw formation energy	-58.9	kJ/mol of atoms
total magnetization	0.000	μB/atom
energy above the lowest structure with this stoichiometry	0.000	eV/atom

a = 4.5591 Å, b = 4.5591 Å, c = 4.7707 Å
α = 90.00°, β = 90.00°, γ = 90.00°
Fractional coordinates of all 5 atoms:
Al1 0.0000 0.0000 0.0000
Zn1 0.5000 0.5000 0.5000
S1 0.0000 0.0000 0.5000
Cl1 0.0000 0.5000 0.0000
Cl2 0.5000 0.0000 0.0000

---

Entry 2:
First-principles (SCAN) data for a PBEsol-optimized structure of TiB3Ir, as listed in the Alexandria database.

Output
calculated formation energy	1826	meV/atom
total magnetization	0.000	μB/atom

a = 3.8627 Å, b = 3.8627 Å, c = 3.8627 Å
α = 90.00°, β = 90.00°, γ = 90.00°
Fractional coordinates of all 5 atoms:
Ti1 0.0000 0.0000 0.0000
B1 0.0000 0.0000 0.5000
B2 0.0000 0.5000 0.0000
B3 0.5000 0.0000 0.0000
Ir1 0.5000 0.5000 0.5000

---

Entry 3:
First-principles (SCAN) data for a PBEsol-optimized structure of CoPtRh2, as listed in the Alexandria database.

Output
calculated formation energy	-24	meV/atom
total magnetization	0.677	μB/atom

a = 2.6643 Å, b = 3.7155 Å, c = 5.3207 Å
α = 90.00°, β = 90.00°, γ = 90.00°
Fractional coordinates of all 4 atoms:
Co1 0.0000 0.0000 0.0000
Pt1 0.5000 0.5000 0.2460
Rh1 0.0000 0.0000 0.5126
Rh2 0.5000 0.5000 0.7580

---

Entry 4:
First-principles (SCAN) data for a PBEsol-optimized structure of Ag2TeP, as listed in the Alexandria database.

Output
raw formation energy	36.1	kJ/mol of atoms
total magnetization	0.000	μB/atom
energy above the lowest structure with this stoichiometry	0.000	eV/atom

a = 2.8831 Å, b = 3.6458 Å, c = 7.4415 Å
α = 90.00°, β = 90.00°, γ = 90.00°
Fractional coordinates of all 4 atoms:
Ag1 0.0000 0.0000 0.2004
Ag2 0.0000 0.0000 0.7996
Te1 0.5000 0.5000 0.5000
P1 0.5000 0.5000 0.0000